Entry 1:
Entry from the Alexandria database: a geometry-optimized Y2Re3Mo structure (PBE-GGA).

POSCAR file:
```
Y2Re3Mo
1.0
-1.626 -1.721 4.885
3.547 -2.949 -2.862
3.285 4.350 -0.389
Y Re Mo
2 3 1
Direct
0.751 0.376 0.127
0.249 0.624 0.873
0.500 0.500 0.500
0.000 0.000 0.500
0.500 0.000 0.500
0.000 0.000 0.000
```

Values from the calculation:
* E_tot: -10.3348 eV/atom



Entry 2:
Entry from the Alexandria database: a geometry-optimized YReMo structure (PBE-GGA).

POSCAR file:
```
YReMo
1.0
5.948 0.007 0.000
4.192 4.220 0.000
-5.070 -2.113 2.282
Mo Re Y
1 1 1
Direct
0.977 0.977 0.000
0.355 0.355 0.000
0.668 0.668 0.000
```

Values from the calculation:
* E_tot: -9.7895 eV/atom
* energy above the most stable polymorph in this dataset: 20.1 kJ per mole of atoms



Entry 3:
Entry from the Alexandria database: a geometry-optimized YReMo2 structure (PBE-GGA).

POSCAR file:
```
YReMo2
1.0
4.453 0.000 0.000
0.000 2.930 0.010
0.000 1.053 5.532
Mo Re Y
2 1 1
Direct
0.000 0.999 0.036
0.000 0.501 0.464
0.500 0.250 0.250
0.500 0.750 0.750
```

Values from the calculation:
* E_tot: -9.8085 eV/atom
* energy above the most stable polymorph in this dataset: 10.4 kJ per mole of atoms



Entry 4:
Entry from the Alexandria database: a geometry-optimized YRe4Mo structure (PBE-GGA).

POSCAR file:
```
YRe4Mo
1.0
0.000 3.735 3.735
3.735 0.000 3.735
3.735 3.735 0.000
Y Re Mo
1 4 1
Direct
0.750 0.750 0.750
0.874 0.375 0.375
0.375 0.375 0.874
0.375 0.874 0.375
0.375 0.375 0.375
0.000 0.000 0.000
```

Values from the calculation:
* E_tot: -11.0700 eV/atom



Entry 5:
Entry from the Alexandria database: a geometry-optimized Y2ReMo structure (PBE-GGA).

POSCAR file:
```
Y2ReMo
1.0
-1.210 -4.698 -0.191
1.625 -3.066 3.396
-3.074 -1.850 3.271
Mo Re Y
1 1 2
Direct
0.500 0.500 0.500
0.750 0.750 0.750
0.000 0.000 0.000
0.250 0.250 0.250
```

Values from the calculation:
* E_tot: -8.6158 eV/atom
* energy above the most stable polymorph in this dataset: 34.1 kJ per mole of atoms



Entry 6:
Entry from the Alexandria database: a geometry-optimized Y2ReMo structure (PBE-GGA).

POSCAR file:
```
Y2ReMo
1.0
5.798 0.000 -0.001
-2.617 4.990 -0.010
0.564 0.873 2.809
Mo Re Y
1 1 2
Direct
0.000 0.500 0.500
0.500 0.500 0.000
0.000 0.000 0.000
0.500 0.000 0.500
```

Values from the calculation:
* E_tot: -8.4937 eV/atom
* energy above the most stable polymorph in this dataset: 45.9 kJ per mole of atoms